Here is Tl4SnPb3 after structural relaxation from Alexandria. Energies are from PBE.

Properties
ΔE to the lowest computed polymorph   0 meV/atom
ΔH_f (0 K)   -0.05 eV per formula unit
Total moment   0.00 μB/atom
Symmetry   C2/m (12)

```
Tl4SnPb3
1.0
-4.5416 0.2665 1.8701
-0.2937 -4.9688 -0.0052
5.9339 -2.7506 8.3339
Pb Tl Sn
3 4 1
Direct
0.8790 0.1206 0.7581
0.0000 0.5000 0.0000
0.1210 0.8794 0.2419
0.2497 0.2510 0.4993
0.6234 0.3758 0.2468
0.7503 0.7490 0.5007
0.3766 0.6242 0.7532
0.5000 0.0000 0.0000
```